First-principles (PBE with a Hubbard U) data for a relaxed Co3RuF crystal, as listed in Alexandria via LeMat-Bulk.

Total energy (eV per atom): -4.03
Excess energy over the best structure of this formula in the dataset (kJ/mol of formula units): 388.1

a = 4.6306 Å, b = 4.6306 Å, c = 4.6306 Å
α = 90.00°, β = 90.00°, γ = 90.00°
With the nearest neighbours (Å) after each atom.
Element x y z (fractional)
1 Co 0.0000 0.0000 0.5000  2 Ru 2.32
2 Co 0.0000 0.5000 0.0000  2 Ru 2.32
3 Co 0.5000 0.0000 0.0000  2 Ru 2.32
4 Ru 0.0000 0.0000 0.0000  6 Co 2.32
5 F 0.5000 0.5000 0.5000  12 Co 3.27